[1]
Here is a relaxed BaY2TiMo crystal from Alexandria. Energies are from PBEsol.

abc: 4.7650 5.5693 5.5693
angles: 90.00 90.00 90.00
Sites, in units of the cell vectors:
Y  0.0000  0.0000  0.5000
Y  0.0000  0.5000  0.0000
Mo  0.0000  0.0000  0.0000
Ba  0.5000  0.5000  0.5000
Ti  0.5000  0.0000  0.0000

Properties
SG: No. 123

---

[2]
Here is a relaxed BaTl2Mo crystal from Alexandria. Energies are from PBEsol.

abc: 3.2051 3.2051 10.1153
angles: 90.00 90.00 100.01
Sites, in units of the cell vectors:
Ba  0.0000  0.0000  0.4746
Mo  0.5000  0.5000  0.2219
Tl  0.0000  0.0000  0.0253
Tl  0.5000  0.5000  0.7781

Properties
SG: No. 35
ΔE to the lowest computed polymorph: 0 meV/atom

---

[3]
Here is a relaxed Ba3TlMo crystal from Alexandria. Energies are from PBEsol.

abc: 6.4902 6.4902 6.4902
angles: 90.00 90.00 90.00
Sites, in units of the cell vectors:
Mo  0.5000  0.5000  0.5000
Tl  0.0000  0.0000  0.0000
Ba  0.0000  0.5000  0.0000
Ba  0.0000  0.0000  0.5000
Ba  0.5000  0.0000  0.0000

Properties
SG: No. 221

---

Per-record total magnetization, μB per atom: 0.001; 0.000; 0.972
Per-record DFT formation energy, eV per atom: 0.47; 0.67; 1.05